Ca2YHfSn, relaxed, DFT GGA-PBEsol; DFT total energy = -4.130 eV per atom; space group = P4/mmm (123)
1.0
-4.509 2.482 -0.600
-2.575 -3.986 2.866
0.911 2.792 4.702
Ca Hf Sn Y
2 1 1 1
Cartesian
0.456 1.396 2.351
-1.288 -1.993 1.433
-2.255 1.241 -0.300
-3.087 0.644 3.484
0.000 0.000 0.000